(1)
Here is a geometry-optimized BaSmTlHg structure from Alexandria via LeMat-Bulk. Energies are from PBE.

Unit cell a=5.7213 b=5.7213 c=5.7213 alpha=60.00 beta=60.00 gamma=60.00
Last column: nearest neighbours and their distance in Å.
Fractional positions:
1 Hg 0.5000 0.5000 0.5000  4 Ba 3.50, 4 Sm 3.50
2 Sm 0.2500 0.2500 0.2500  4 Hg 3.50, 4 Tl 3.50
3 Ba 0.7500 0.7500 0.7500  4 Tl 3.50, 4 Hg 3.50
4 Tl 0.0000 0.0000 0.0000  4 Ba 3.50, 4 Sm 3.50

Computed properties:
- ΔH_f (0 K) (eV per atom) = -0.338
- SG = F-43m, No. 216

---

(2)
Here is a geometry-optimized TmPu4Pb5 structure from Alexandria via LeMat-Bulk. Energies are from PBE.

Unit cell a=4.1220 b=4.1220 c=16.5640 alpha=90.00 beta=90.00 gamma=90.00
Last column: nearest neighbours and their distance in Å.
Fractional positions:
1 Pb 0.5000 0.5000 0.6973  2 Pb 3.27-3.38, 8 Pu 3.32-3.36
2 Pb 0.5000 0.5000 0.0985  2 Pb 3.26-3.38, 4 Tm 3.34, 4 Pu 3.43
3 Pb 0.5000 0.5000 0.9015  2 Pb 3.26-3.38, 4 Tm 3.34, 4 Pu 3.43
4 Pb 0.5000 0.5000 0.3027  2 Pb 3.27-3.38, 8 Pu 3.32-3.36
5 Pb 0.5000 0.5000 0.5000  2 Pb 3.27, 8 Pu 3.33
6 Pu 0.0000 0.0000 0.7929  1 Pu 3.25, 8 Pb 3.32-3.43, 1 Tm 3.43
7 Pu 0.0000 0.0000 0.4033  2 Pu 3.20-3.25, 8 Pb 3.33-3.36
8 Pu 0.0000 0.0000 0.2071  1 Pu 3.25, 8 Pb 3.32-3.43, 1 Tm 3.43
9 Pu 0.0000 0.0000 0.5967  2 Pu 3.20-3.25, 8 Pb 3.33-3.36
10 Tm 0.0000 0.0000 0.0000  8 Pb 3.34, 2 Pu 3.43

Computed properties:
- ΔH_f (0 K) (eV per atom) = -0.161
- SG = P4/mmm, No. 123